# 1
8
Lattice="-3.642 3.642 4.188 3.642 -3.642 4.188 3.642 3.642 -4.188" Properties=species:S:1:pos:R:3 comment="RbFeSe2 (PBE-GGA, relaxed)" rho_g_cm3=4.47 spacegroup="I-42d (122)" total_magnetization_mub_per_fu=0.00 final_energy_ev_per_cell=-36.8 formation_energy_uncorrected_ev_per_atom=-0.504 pbc="T T T"
Rb 0.000 0.000 0.000
Rb 0.000 3.642 2.094
Fe 3.642 0.000 2.094
Fe 0.000 0.000 4.188
Se 1.821 -0.862 3.141
Se 2.780 1.821 1.047
Se 1.821 4.503 -1.047
Se 0.862 1.821 5.235



# 2
11
Lattice="10.852 -2.073 0.000 10.852 2.073 0.000 -0.413 0.000 8.437" Properties=species:S:1:pos:R:3 comment="Tb2Sm5Bi4 (PBE-GGA, relaxed)" rho_g_cm3=8.33 spacegroup="C2/m (12)" total_magnetization_mub_per_fu=0.97 ef_mev_per_atom=-394 final_energy_ev_per_cell=-52.7 pbc="T T T"
Tb 1.399 0.000 1.506
Tb 19.892 0.000 6.931
Sm -0.207 0.000 4.218
Sm 7.023 0.000 0.104
Sm 7.379 0.000 4.133
Sm 13.912 0.000 4.304
Sm 14.267 0.000 8.333
Bi 1.519 0.000 6.761
Bi 4.597 0.000 2.271
Bi 16.693 0.000 6.165
Bi 19.772 0.000 1.676



# 3
6
Lattice="0.000 3.909 3.909 3.909 0.000 3.909 3.909 3.909 0.000" Properties=species:S:1:pos:R:3 comment="PmPdAu4 (PBE-GGA, relaxed)" rho_g_cm3=14.45 spacegroup="F-43m (216)" total_magnetization_mub_per_fu=0.00 relative_energy_mev_per_atom=20 ef_mev_per_atom=-467 final_energy_ev_per_cell=-25.9 pbc="T T T"
Pm 0.000 0.000 0.000
Pd 5.864 5.864 5.864
Au 2.936 2.936 2.936
Au 4.882 4.882 2.936
Au 4.882 2.936 4.882
Au 2.936 4.882 4.882



# 4
4
Lattice="1.880 1.086 8.660 -1.880 1.086 8.660 0.000 -2.171 8.660" Properties=species:S:1:pos:R:3 comment="La2TcCl (PBE-GGA, relaxed)" rho_g_cm3=6.44 spacegroup="R3m (160)" total_magnetization_mub_per_fu=0.00 relative_energy_mev_per_atom=169 final_energy_ev_per_cell=-24.5 formation_energy_uncorrected_ev_per_atom=-0.606 pbc="T T T"
La 0.000 0.000 0.000
La 0.000 0.000 4.721
Tc 0.000 0.000 15.341
Cl 0.000 0.000 19.682